*1*
Entry from Alexandria: Th2CoHg after structural relaxation (GGA-PBE).

N(E_F)   3.2 states/eV/cell
Mass density   11.2 Mg/m³
Space group   No. 160
V   107.5 Å³/cell

Lattice parameters (Å, degrees): 3.924 3.924 8.376 76.45 76.45 60.00
Atoms (fractional coordinates):
Co: 0.668 0.668 0.996
Th: 0.064 0.064 0.808
Th: 0.269 0.269 0.192
Hg: 0.499 0.499 0.504

*2*
Entry from Alexandria: Th2CoHg after structural relaxation (GGA-PBE).

N(E_F)   4.0 states/eV/cell
Mass density   10.9 Mg/m³
Space group   No. 164
V   109.8 Å³/cell

Lattice parameters (Å, degrees): 4.089 4.089 7.586 90.00 90.00 60.00
Atoms (fractional coordinates):
Th: 0.667 0.667 0.186
Th: 0.333 0.333 0.814
Hg: 0.000 0.000 0.500
Co: 0.000 0.000 0.000

*3*
Entry from Alexandria: Th2CoHg after structural relaxation (GGA-PBE).

N(E_F)   3.4 states/eV/cell
Mass density   11.2 Mg/m³
Space group   No. 12
V   107.8 Å³/cell

Lattice parameters (Å, degrees): 3.943 3.943 8.356 89.67 103.81 120.41
Atoms (fractional coordinates):
Co: 0.000 0.000 0.000
Th: 0.540 0.270 0.810
Th: 0.460 0.730 0.190
Hg: 0.000 0.500 0.500

*3* wins, 0.024 eV/atom ahead of the next structure.

*1*
Entry from Alexandria: Ti4CoHg after structural relaxation (GGA-PBE).

N(E_F)   7.9 states/eV/cell
Mass density   6.0 Mg/m³
Space group   No. 65
V   125.2 Å³/cell

Lattice parameters (Å, degrees): 3.093 6.363 6.363 92.00 90.00 90.00
Atoms (fractional coordinates):
Ti: 0.000 0.193 0.193
Ti: 0.000 0.807 0.807
Ti: 0.500 0.752 0.248
Ti: 0.500 0.248 0.752
Co: 0.500 0.000 0.000
Hg: 0.000 0.500 0.500

*2*
Entry from Alexandria: Ti4CoHg after structural relaxation (GGA-PBE).

N(E_F)   3.7 states/eV/cell
Mass density   7.6 Mg/m³
Space group   No. 123
V   98.2 Å³/cell

Lattice parameters (Å, degrees): 2.994 2.994 10.951 90.00 90.00 90.00
Atoms (fractional coordinates):
Hg: 0.000 0.000 0.000
Ti: 0.000 0.000 0.363
Ti: 0.500 0.500 0.806
Ti: 0.500 0.500 0.194
Ti: 0.000 0.000 0.637
Co: 0.500 0.500 0.500

*2* wins, 0.656 eV/atom ahead of the next structure.

*1*
Entry from Alexandria: Tl2Co2Hg after structural relaxation (GGA-PBE).

N(E_F)   12.3 states/eV/cell
Mass density   12.7 Mg/m³
Space group   No. 127
V   190.3 Å³/cell

Lattice parameters (Å, degrees): 6.880 6.880 4.021 90.00 90.00 90.00
Atoms (fractional coordinates):
Tl: 0.171 0.671 0.500
Tl: 0.829 0.329 0.500
Tl: 0.329 0.171 0.500
Tl: 0.671 0.829 0.500
Co: 0.379 0.879 0.000
Co: 0.621 0.121 0.000
Co: 0.121 0.379 0.000
Co: 0.879 0.621 0.000
Hg: 0.500 0.500 0.000
Hg: 0.000 0.000 0.000

*2*
Entry from Alexandria: Tl2Co2Hg after structural relaxation (GGA-PBE).

N(E_F)   6.3 states/eV/cell
Mass density   11.3 Mg/m³
Space group   No. 139
V   107.2 Å³/cell

Lattice parameters (Å, degrees): 6.337 6.337 6.337 139.29 139.29 58.93
Atoms (fractional coordinates):
Tl: 0.250 0.750 0.500
Tl: 0.750 0.250 0.500
Hg: 0.000 0.000 0.000
Co: 0.598 0.598 0.000
Co: 0.402 0.402 0.000

*1* wins, 0.263 eV/atom ahead of the next structure.

*1*
Entry from Alexandria: TlCoHg2 after structural relaxation (GGA-PBE).

N(E_F)   4.5 states/eV/cell
Mass density   13.1 Mg/m³
Space group   No. 123
V   84.4 Å³/cell

Lattice parameters (Å, degrees): 4.603 4.281 4.281 90.00 90.00 90.00
Atoms (fractional coordinates):
Hg: 0.000 0.000 0.000
Hg: 0.000 0.500 0.500
Co: 0.500 0.000 0.500
Tl: 0.500 0.500 0.000

*2*
Entry from Alexandria: TlCoHg2 after structural relaxation (GGA-PBE).

N(E_F)   2.7 states/eV/cell
Mass density   12.8 Mg/m³
Space group   No. 65
V   86.4 Å³/cell

Lattice parameters (Å, degrees): 5.039 5.039 3.628 90.00 90.00 110.39
Atoms (fractional coordinates):
Co: 0.000 0.500 0.500
Hg: 0.500 0.500 0.000
Hg: 0.000 0.000 0.000
Tl: 0.500 0.000 0.500

*2* wins, 0.010 eV/atom ahead of the next structure.

*1*
Entry from Alexandria: TlCoHg2 after structural relaxation (GGA-PBE).

N(E_F)   2.6 states/eV/cell
Mass density   12.3 Mg/m³
Space group   No. 6
V   89.7 Å³/cell

Lattice parameters (Å, degrees): 3.099 4.266 7.108 72.61 90.00 90.00
Atoms (fractional coordinates):
Hg: 0.500 0.185 0.255
Hg: 0.000 0.821 0.982
Co: 0.500 0.988 0.649
Tl: 0.000 0.506 0.613

*2*
Entry from Alexandria: TlCoHg2 after structural relaxation (GGA-PBE).

N(E_F)   3.3 states/eV/cell
Mass density   12.2 Mg/m³
Space group   No. 44
V   90.4 Å³/cell

Lattice parameters (Å, degrees): 7.219 7.219 7.219 156.26 143.25 44.22
Atoms (fractional coordinates):
Hg: 0.076 0.076 0.000
Hg: 0.747 0.247 0.500
Tl: 0.427 0.427 0.000
Co: 0.250 0.750 0.500

*2* wins, 0.017 eV/atom ahead of the next structure.

*1*
Entry from Alexandria: TlCoHg2 after structural relaxation (GGA-PBE).

N(E_F)   5.0 states/eV/cell
Mass density   12.7 Mg/m³
Space group   No. 160
V   87.2 Å³/cell

Lattice parameters (Å, degrees): 9.440 9.440 9.440 20.13 20.13 20.13
Atoms (fractional coordinates):
Hg: 0.251 0.251 0.251
Hg: 0.013 0.013 0.013
Tl: 0.487 0.487 0.487
Co: 0.749 0.749 0.749

*2*
Entry from Alexandria: TlCoHg2 after structural relaxation (GGA-PBE).

N(E_F)   3.1 states/eV/cell
Mass density   12.8 Mg/m³
Space group   No. 71
V   85.9 Å³/cell

Lattice parameters (Å, degrees): 6.891 6.891 4.490 71.02 71.02 25.30
Atoms (fractional coordinates):
Tl: 0.250 0.250 0.250
Hg: 0.066 0.066 0.933
Hg: 0.434 0.434 0.567
Co: 0.750 0.750 0.750

*3*
Entry from Alexandria: TlCoHg2 after structural relaxation (GGA-PBE).

N(E_F)   5.3 states/eV/cell
Mass density   12.7 Mg/m³
Space group   No. 99
V   86.9 Å³/cell

Lattice parameters (Å, degrees): 3.178 3.172 8.619 90.00 90.00 90.00
Atoms (fractional coordinates):
Hg: 0.000 0.000 0.946
Hg: 0.500 0.500 0.238
Co: 0.500 0.500 0.760
Tl: 0.000 0.000 0.556

*2* wins, 0.091 eV/atom ahead of the next structure.

*1*
Entry from Alexandria: Tm4CoHg after structural relaxation (GGA-PBE).

N(E_F)   12.3 states/eV/cell
Mass density   9.5 Mg/m³
Space group   No. 14
V   325.5 Å³/cell

Lattice parameters (Å, degrees): 6.704 6.803 7.148 90.00 93.20 90.00
Atoms (fractional coordinates):
Tm: 0.818 0.160 0.364
Tm: 0.182 0.840 0.636
Tm: 0.382 0.857 0.192
Tm: 0.682 0.660 0.636
Tm: 0.318 0.340 0.364
Tm: 0.882 0.643 0.192
Tm: 0.118 0.357 0.808
Tm: 0.618 0.143 0.808
Hg: 0.500 0.500 0.000
Hg: 0.000 0.000 0.000
Co: 0.000 0.500 0.500
Co: 0.500 0.000 0.500

*2*
Entry from Alexandria: Tm4CoHg after structural relaxation (GGA-PBE).

N(E_F)   16.0 states/eV/cell
Mass density   10.8 Mg/m³
Space group   No. 216
V   573.9 Å³/cell

Lattice parameters (Å, degrees): 9.328 9.328 9.328 60.00 60.00 60.00
Atoms (fractional coordinates):
Tm: 0.561 0.939 0.561
Tm: 0.189 0.811 0.811
Tm: 0.939 0.561 0.561
Tm: 0.402 0.402 0.793
Tm: 0.939 0.561 0.939
Tm: 0.811 0.189 0.811
Tm: 0.189 0.811 0.189
Tm: 0.561 0.561 0.939
Tm: 0.811 0.811 0.189
Tm: 0.939 0.939 0.561
Tm: 0.402 0.793 0.402
Tm: 0.402 0.402 0.402
Tm: 0.793 0.402 0.402
Tm: 0.189 0.189 0.811
Tm: 0.811 0.189 0.189
Tm: 0.561 0.939 0.939
Co: 0.609 0.609 0.174
Co: 0.174 0.609 0.609
Co: 0.609 0.174 0.609
Co: 0.609 0.609 0.609
Hg: 0.166 0.166 0.166
Hg: 0.503 0.166 0.166
Hg: 0.166 0.503 0.166
Hg: 0.166 0.166 0.503

*2* wins, 0.160 eV/atom ahead of the next structure.

*1*
Entry from Alexandria: Tm2CoHg after structural relaxation (GGA-PBE).

N(E_F)   2.0 states/eV/cell
Mass density   11.5 Mg/m³
Space group   No. 225
V   86.0 Å³/cell

Lattice parameters (Å, degrees): 4.954 4.954 4.954 60.00 60.00 60.00
Atoms (fractional coordinates):
Tm: 0.250 0.250 0.250
Tm: 0.750 0.750 0.750
Co: 0.500 0.500 0.500
Hg: 0.000 0.000 0.000

*2*
Entry from Alexandria: Tm2CoHg after structural relaxation (GGA-PBE).

N(E_F)   2.7 states/eV/cell
Mass density   8.8 Mg/m³
Space group   No. 166
V   112.4 Å³/cell

Lattice parameters (Å, degrees): 3.745 3.745 9.498 78.63 78.63 60.00
Atoms (fractional coordinates):
Co: 0.500 0.500 0.500
Tm: 0.115 0.115 0.655
Tm: 0.885 0.885 0.345
Hg: 0.000 0.000 0.000

*3*
Entry from Alexandria: Tm2CoHg after structural relaxation (GGA-PBE).

N(E_F)   1.7 states/eV/cell
Mass density   11.7 Mg/m³
Space group   No. 123
V   85.0 Å³/cell

Lattice parameters (Å, degrees): 3.382 3.382 7.432 90.00 90.00 90.00
Atoms (fractional coordinates):
Tm: 0.000 0.000 0.784
Tm: 0.000 0.000 0.216
Co: 0.500 0.500 0.000
Hg: 0.500 0.500 0.500

*3* wins, 0.116 eV/atom ahead of the next structure.